# Ca4Sn5Ir3 (GGA-PBE, relaxed)
data_Ca4Sn5Ir3
_cell_length_a 16.545
_cell_length_b 4.895
_cell_length_c 7.385
_cell_angle_alpha 90.00
_cell_angle_beta 107.86
_cell_angle_gamma 90.00
_space_group_name_H-M_alt 'C 1 2/m 1'
_space_group_IT_number 12
loop_
_space_group_symop_operation_xyz
'x,y,z'
'-x,-y,-z'
'-x,y,-z'
'x,-y,z'
'x+1/2,y+1/2,z'
'-x+1/2,-y+1/2,-z'
'-x+1/2,y+1/2,-z'
'x+1/2,-y+1/2,z'
loop_
_atom_site_label
_atom_site_type_symbol
_atom_site_fract_x
_atom_site_fract_y
_atom_site_fract_z
Ca1 Ca 0.104 0.000 0.438
Ca2 Ca 0.174 0.000 0.942
Sn1 Sn 0.000 0.000 0.000
Sn2 Sn 0.066 0.500 0.693
Sn3 Sn 0.185 0.500 0.265
Ir1 Ir 0.000 0.500 0.000
Ir2 Ir 0.223 0.500 0.649
# DFT total energy: -59.6 eV per formula unit
# Formation energy: -4.96 eV/f.u.